SiHg4Br: optimized geometry, PBE.

Calculated values
E_form (uncorrected) = 0.40 eV/atom

```
SiHg4Br
1.0
0.000 4.279 4.279
4.279 0.000 4.279
4.279 4.279 0.000
Si Hg Br
1 4 1
direct
0.000 0.000 0.000 Si
0.375 0.375 0.375 Hg
0.375 0.375 0.875 Hg
0.375 0.875 0.375 Hg
0.875 0.375 0.375 Hg
0.750 0.750 0.750 Br
```



SiHg2Br: optimized geometry, PBE.

Calculated values
Relative energy among the computed polymorphs = 9.68 kJ/mol of atoms
E_form (uncorrected) = 0.13 eV/atom

```
SiHg2Br
1.0
2.001 1.155 7.337
-2.001 1.155 7.337
0.000 -2.311 7.337
Si Hg Br
1 2 1
direct
0.000 0.000 0.000 Si
0.264 0.264 0.264 Hg
0.736 0.736 0.736 Hg
0.500 0.500 0.500 Br
```



SiHgBr4: optimized geometry, PBE.

Calculated values
Relative energy among the computed polymorphs = 134.25 kJ/mol of atoms
E_form (uncorrected) = 0.75 eV/atom

```
SiHgBr4
1.0
0.000 4.444 4.444
4.444 0.000 4.444
4.444 4.444 0.000
Si Hg Br
1 1 4
direct
0.000 0.000 0.000 Si
0.250 0.250 0.250 Hg
0.124 0.625 0.625 Br
0.625 0.124 0.625 Br
0.625 0.625 0.124 Br
0.625 0.625 0.625 Br
```



SiHg2Br: optimized geometry, PBE.

Calculated values
Relative energy among the computed polymorphs = 8.11 kJ/mol of atoms
E_form (uncorrected) = 0.11 eV/atom

```
SiHg2Br
1.0
5.251 0.000 0.000
0.000 3.721 0.000
-2.607 0.000 5.637
Si Hg Br
1 2 1
direct
0.000 0.000 0.000 Si
0.183 0.500 0.362 Hg
0.817 0.500 0.638 Hg
0.500 0.000 0.000 Br
```



SiHg2Br: optimized geometry, PBE.

Calculated values
Relative energy among the computed polymorphs = 12.06 kJ/mol of atoms
E_form (uncorrected) = 0.15 eV/atom

```
SiHg2Br
1.0
-1.713 2.128 8.004
1.713 -2.128 8.004
1.713 2.128 -8.004
Si Hg Br
1 2 1
direct
0.000 0.000 0.000 Si
0.458 0.458 0.000 Hg
0.791 0.291 0.500 Hg
0.129 0.629 0.500 Br
```



TaSiHgBr2: optimized geometry, PBE.

Calculated values
E_form (uncorrected) = 0.21 eV/atom

```
TaSiHgBr2
1.0
5.111 0.000 0.000
0.000 5.111 0.000
0.000 0.000 5.194
Ta Si Hg Br
1 1 1 2
direct
0.000 0.000 0.000 Ta
0.000 0.000 0.500 Si
0.500 0.500 0.500 Hg
0.000 0.500 0.000 Br
0.500 0.000 0.000 Br
```



TlSiHg2Br: optimized geometry, PBE.

Calculated values
E_form (uncorrected) = 0.49 eV/atom

```
TlSiHg2Br
1.0
5.750 0.000 0.000
0.000 5.750 0.000
0.000 0.000 5.271
Tl Si Hg Br
1 1 2 1
direct
0.000 0.000 0.000 Tl
0.000 0.000 0.500 Si
0.000 0.500 0.000 Hg
0.500 0.000 0.000 Hg
0.500 0.500 0.500 Br
```



Si2HgWBr: optimized geometry, PBE.

Calculated values
E_form (uncorrected) = 1.88 eV/atom

```
Si2HgWBr
1.0
4.925 0.000 0.000
0.000 4.925 0.000
0.000 0.000 5.590
Si Hg W Br
2 1 1 1
direct
0.000 0.500 0.000 Si
0.500 0.000 0.000 Si
0.000 0.000 0.000 Hg
0.000 0.000 0.500 W
0.500 0.500 0.500 Br
```



What is the E_form (uncorrected) in the second record? 0.13 eV/atom